Entry A
La2AlCd2 after structural relaxation, computed with PBE.

Computed properties:
crystal system = monoclinic
N(E_F) = 10.46 states/eV/cell

```
data_La2AlCd2
_chemical_formula_sum 'La4 Al2 Cd4'
_symmetry_space_group_name_H-M 'P 1'
_symmetry_Int_Tables_number 1
_cell_length_a 4.876
_cell_length_b 6.231
_cell_length_c 10.266
_cell_angle_alpha 74.03
_cell_angle_beta 76.26
_cell_angle_gamma 66.97
loop_
_symmetry_equiv_pos_as_xyz
'x,y,z'
loop_
_atom_site_label
_atom_site_fract_x
_atom_site_fract_y
_atom_site_fract_z
_atom_site_occupancy
La1 0.177 0.697 0.949 1
La2 0.823 0.303 0.051 1
La3 0.099 0.183 0.620 1
La4 0.901 0.817 0.380 1
Al1 0.771 0.732 0.725 1
Al2 0.229 0.268 0.275 1
Cd1 0.509 0.129 0.854 1
Cd2 0.609 0.410 0.373 1
Cd3 0.391 0.590 0.627 1
Cd4 0.491 0.871 0.146 1
```


Entry B
La2AlCd2 after structural relaxation, computed with PBE.

Computed properties:
crystal system = tetragonal
N(E_F) = 9.40 states/eV/cell

```
data_La2AlCd2
_chemical_formula_sum 'La4 Al2 Cd4'
_symmetry_space_group_name_H-M 'P 1'
_symmetry_Int_Tables_number 1
_cell_length_a 7.419
_cell_length_b 7.419
_cell_length_c 5.077
_cell_angle_alpha 90.00
_cell_angle_beta 90.00
_cell_angle_gamma 90.00
loop_
_symmetry_equiv_pos_as_xyz
'x,y,z'
loop_
_atom_site_label
_atom_site_fract_x
_atom_site_fract_y
_atom_site_fract_z
_atom_site_occupancy
Al1 0.500 0.500 0.000 1
Al2 0.000 0.000 0.000 1
La1 0.829 0.329 0.500 1
La2 0.171 0.671 0.500 1
La3 0.329 0.171 0.500 1
La4 0.671 0.829 0.500 1
Cd1 0.863 0.637 0.000 1
Cd2 0.363 0.863 0.000 1
Cd3 0.137 0.363 0.000 1
Cd4 0.637 0.137 0.000 1
```


Entry C
La2AlCd2 after structural relaxation, computed with PBE.

Computed properties:
crystal system = tetragonal
N(E_F) = 6.87 states/eV/cell

```
data_La2AlCd2
_chemical_formula_sum 'La2 Al1 Cd2'
_symmetry_space_group_name_H-M 'P 1'
_symmetry_Int_Tables_number 1
_cell_length_a 3.944
_cell_length_b 3.944
_cell_length_c 10.065
_cell_angle_alpha 78.70
_cell_angle_beta 78.70
_cell_angle_gamma 90.00
loop_
_symmetry_equiv_pos_as_xyz
'x,y,z'
loop_
_atom_site_label
_atom_site_fract_x
_atom_site_fract_y
_atom_site_fract_z
_atom_site_occupancy
La1 0.406 0.406 0.187 1
La2 0.594 0.594 0.813 1
Cd1 0.250 0.750 0.500 1
Cd2 0.750 0.250 0.500 1
Al1 0.000 0.000 0.000 1
```


Stability, highest: entry A